Dy2Zn2Pb after structural relaxation, computed with PBE.

Structure (extended XYZ):
```
10
Lattice="4.302 0.000 0.000 0.000 6.067 0.000 0.000 0.000 9.080" Properties=species:S:1:pos:R:3 pbc="T T T"
Dy 0.000 0.000 1.951
Dy 0.000 0.000 7.129
Dy 2.151 3.034 2.589
Dy 2.151 3.034 6.491
Zn 0.000 1.821 4.540
Zn 0.000 4.246 4.540
Zn 2.151 1.212 0.000
Zn 2.151 4.855 0.000
Pb 0.000 3.034 0.000
Pb 2.151 0.000 4.540
```

Results
The value obtained for the density of states at the Fermi level is 10.2 states/eV/cell. Its volume is 23.70 Å³/atom. As for the formation energy: -29.3 kJ/mol of atoms.